(1)
A plane-wave DFT calculation with PBE-GGA was carried out for a relaxed Tb12CeTm3 crystal.

```
data_Tb12CeTm3
_symmetry_space_group_name_H-M 'P 4/m m m'
_symmetry_Int_Tables_number 123
_symmetry_space_group_name_Hall '-P 4 2'
_cell_length_a 5.014
_cell_length_b 5.014
_cell_length_c 20.054
_cell_angle_alpha 90.00
_cell_angle_beta 90.00
_cell_angle_gamma 90.00
loop_
_atom_site_label
_atom_site_type_symbol
_atom_site_fract_x
_atom_site_fract_y
_atom_site_fract_z
_atom_site_occupancy
Tb1 Tb 0.000 0.000 0.000 1
Tb2 Tb 0.000 0.000 0.248 1
Tb3 Tb 0.000 0.000 0.500 1
Tb4 Tb 0.000 0.500 0.125 1
Tb5 Tb 0.000 0.500 0.375 1
Ce1 Ce 0.500 0.500 0.500 1
Tm1 Tm 0.500 0.500 0.000 1
Tm2 Tm 0.500 0.500 0.250 1
```

Results
Its formation enthalpy at 0 K is 0.03 eV per atom.

***

(2)
A plane-wave DFT calculation with PBE-GGA was carried out for a relaxed Li2USn3Se6 crystal.

```
data_Li2USn3Se6
_symmetry_space_group_name_H-M 'C 1 2/m 1'
_symmetry_Int_Tables_number 12
_symmetry_space_group_name_Hall '-C 2y'
_cell_length_a 7.149
_cell_length_b 12.413
_cell_length_c 7.384
_cell_angle_alpha 90.00
_cell_angle_beta 108.15
_cell_angle_gamma 90.00
loop_
_atom_site_label
_atom_site_type_symbol
_atom_site_fract_x
_atom_site_fract_y
_atom_site_fract_z
_atom_site_occupancy
Li1 Li 0.000 0.178 0.000 1
U1 U 0.000 0.500 0.000 1
Sn1 Sn 0.000 0.000 0.500 1
Sn2 Sn 0.000 0.336 0.500 1
Se1 Se 0.241 0.339 0.227 1
Se2 Se 0.241 0.500 0.753 1
```

Results
The uncorrected formation energy comes out at -77 kJ per mole of atoms.

***

(3)
A plane-wave DFT calculation with PBE-GGA was carried out for a relaxed NdDyScCd crystal.

```
data_NdDyScCd
_symmetry_space_group_name_H-M 'P 4 m m'
_symmetry_Int_Tables_number 99
_symmetry_space_group_name_Hall 'P 4 -2'
_cell_length_a 3.557
_cell_length_b 3.557
_cell_length_c 8.788
_cell_angle_alpha 90.00
_cell_angle_beta 90.00
_cell_angle_gamma 90.00
loop_
_atom_site_label
_atom_site_type_symbol
_atom_site_fract_x
_atom_site_fract_y
_atom_site_fract_z
_atom_site_occupancy
Nd1 Nd 0.000 0.000 0.000 1
Dy1 Dy 0.500 0.500 0.706 1
Sc1 Sc 0.500 0.500 0.269 1
Cd1 Cd 0.000 0.000 0.467 1
```

Results
Its formation enthalpy at 0 K is -0.13 eV per atom. The value obtained for the excess energy over the best structure of this formula in the dataset is 0 meV per atom.

***

(4)
A plane-wave DFT calculation with PBE-GGA was carried out for a relaxed Cu23NiPd6 crystal.

```
data_Cu23NiPd6
_symmetry_space_group_name_H-M 'F m -3 m'
_symmetry_Int_Tables_number 225
_symmetry_space_group_name_Hall '-F 4 2 3'
_cell_length_a 11.574
_cell_length_b 11.574
_cell_length_c 11.574
_cell_angle_alpha 90.00
_cell_angle_beta 90.00
_cell_angle_gamma 90.00
loop_
_atom_site_label
_atom_site_type_symbol
_atom_site_fract_x
_atom_site_fract_y
_atom_site_fract_z
_atom_site_occupancy
Cu1 Cu 0.000 0.000 0.000 1
Cu2 Cu 0.000 0.250 0.250 1
Cu3 Cu 0.122 0.122 0.122 1
Cu4 Cu 0.163 0.163 0.337 1
Ni1 Ni 0.000 0.000 0.500 1
Pd1 Pd 0.000 0.000 0.276 1
```

Results
Its formation enthalpy at 0 K is 0.03 eV per atom.

***

(5)
A plane-wave DFT calculation with PBE-GGA was carried out for a relaxed In2CuRu crystal.

```
data_In2CuRu
_symmetry_space_group_name_H-M 'P 4/m m m'
_symmetry_Int_Tables_number 123
_symmetry_space_group_name_Hall '-P 4 2'
_cell_length_a 3.351
_cell_length_b 3.351
_cell_length_c 6.104
_cell_angle_alpha 90.00
_cell_angle_beta 90.00
_cell_angle_gamma 90.00
loop_
_atom_site_label
_atom_site_type_symbol
_atom_site_fract_x
_atom_site_fract_y
_atom_site_fract_z
_atom_site_occupancy
In1 In 0.000 0.000 0.248 1
Cu1 Cu 0.500 0.500 0.500 1
Ru1 Ru 0.500 0.500 0.000 1
```

Results
Its formation enthalpy at 0 K is 0.07 eV per atom.

***

(6)
A plane-wave DFT calculation with PBE-GGA was carried out for a relaxed LaSn4Au4 crystal.

```
data_LaSn4Au4
_symmetry_space_group_name_H-M 'P 42/n'
_symmetry_Int_Tables_number 86
_cell_length_a 9.015
_cell_length_b 9.015
_cell_length_c 5.680
_cell_angle_alpha 90.00
_cell_angle_beta 90.00
_cell_angle_gamma 90.00
loop_
_symmetry_equiv_pos_as_xyz
'x,y,z'
'-x,-y,-z'
'-y,x+1/2,z+1/2'
'y,-x+1/2,-z+1/2'
'-x+1/2,-y+1/2,z'
'x+1/2,y+1/2,-z'
'y+1/2,-x,z+1/2'
'-y+1/2,x,-z+1/2'
loop_
_atom_site_label
_atom_site_type_symbol
_atom_site_fract_x
_atom_site_fract_y
_atom_site_fract_z
_atom_site_occupancy
La1 La 0.250 0.250 0.250 1
Sn1 Sn 0.093 0.867 0.633 1
Au1 Au 0.032 0.874 0.139 1
```

Results
Its formation enthalpy at 0 K is -0.27 eV per atom.

***

(7)
A plane-wave DFT calculation with PBE-GGA was carried out for a relaxed RbTlCd crystal.

```
data_RbTlCd
_symmetry_space_group_name_H-M 'P 1 21/c 1'
_symmetry_Int_Tables_number 14
_symmetry_space_group_name_Hall '-P 2ybc'
_cell_length_a 6.933
_cell_length_b 7.299
_cell_length_c 9.956
_cell_angle_alpha 90.00
_cell_angle_beta 112.38
_cell_angle_gamma 90.00
loop_
_atom_site_label
_atom_site_type_symbol
_atom_site_fract_x
_atom_site_fract_y
_atom_site_fract_z
_atom_site_occupancy
Rb1 Rb 0.196 0.122 0.381 1
Tl1 Tl 0.227 0.613 0.531 1
Cd1 Cd 0.403 0.630 0.291 1
```

Results
Its formation enthalpy at 0 K is -0.06 eV per atom. The value obtained for the excess energy over the best structure of this formula in the dataset is 0 meV per atom.

***

(8)
A plane-wave DFT calculation with PBE-GGA was carried out for a relaxed KSbF4 crystal.

```
data_KSbF4
_symmetry_space_group_name_H-M 'P -1'
_symmetry_Int_Tables_number 2
_symmetry_space_group_name_Hall '-P 1'
_cell_length_a 5.717
_cell_length_b 6.152
_cell_length_c 7.459
_cell_angle_alpha 107.11
_cell_angle_beta 112.47
_cell_angle_gamma 90.01
loop_
_atom_site_label
_atom_site_type_symbol
_atom_site_fract_x
_atom_site_fract_y
_atom_site_fract_z
_atom_site_occupancy
K1 K 0.242 0.250 0.499 1
Sb1 Sb 0.000 0.500 0.000 1
Sb2 Sb 0.500 0.000 0.000 1
F1 F 0.014 0.534 0.296 1
F2 F 0.219 0.966 0.704 1
F3 F 0.250 0.840 0.118 1
F4 F 0.367 0.340 0.118 1
```

Results
The uncorrected formation energy comes out at -240 kJ per mole of atoms.

***

What did the third record say?
A plane-wave DFT calculation with PBE-GGA was carried out for a relaxed NdDyScCd crystal.

```
data_NdDyScCd
_symmetry_space_group_name_H-M 'P 4 m m'
_symmetry_Int_Tables_number 99
_symmetry_space_group_name_Hall 'P 4 -2'
_cell_length_a 3.557
_cell_length_b 3.557
_cell_length_c 8.788
_cell_angle_alpha 90.00
_cell_angle_beta 90.00
_cell_angle_gamma 90.00
loop_
_atom_site_label
_atom_site_type_symbol
_atom_site_fract_x
_atom_site_fract_y
_atom_site_fract_z
_atom_site_occupancy
Nd1 Nd 0.000 0.000 0.000 1
Dy1 Dy 0.500 0.500 0.706 1
Sc1 Sc 0.500 0.500 0.269 1
Cd1 Cd 0.000 0.000 0.467 1
```

Results
Its formation enthalpy at 0 K is -0.13 eV per atom. The value obtained for the excess energy over the best structure of this formula in the dataset is 0 meV per atom.